Computed, not measured: Ca2CoCl2O2 after structural relaxation at the GGA+U level of DFT.

Output
Energy: -5.36 eV/atom

a = 3.9835 Å, b = 3.9835 Å, c = 14.7559 Å
α = 90.00°, β = 90.00°, γ = 90.00°
Last column: nearest neighbours and their distance in Å.
Space group I4/mmm (No. 139)
Asymmetric unit:
Ca: 0.0000 0.0000 0.1037  4 O 2.51
Co: 0.0000 0.0000 0.5000  4 O 1.99
Cl: 0.0000 0.0000 0.3197  1 Co 2.66
O: 0.0000 0.5000 0.0000  2 Co 1.99